1.
Computed, not measured: a relaxed AcHfBi2 crystal at the GGA-PBE level of DFT.

Its offset from the most stable computed form is 0.0723 eV/atom. The formation energy is -0.217 eV per atom. The volume is 30.09 Å³/atom.

The structure belongs to space group Fm-3m (No. 225); the cell edges are 7.838, 7.838 and 7.838 Å and the angles 90.00°, 90.00° and 90.00°. The distinct sites, in fractional coordinates, are Ac at (0.000, 0.000, 0.000), Hf at (0.000, 0.000, 0.500) and Bi at (0.250, 0.250, 0.250).


2.
Computed, not measured: a relaxed Tb2NdSc crystal at the GGA-PBE level of DFT.

Its offset from the most stable computed form is 0.0060 eV/atom. The formation energy is 0.046 eV per atom. The volume is 30.87 Å³/atom.

The structure belongs to space group P4/mmm (No. 123); the cell edges are 3.536, 3.536 and 9.879 Å and the angles 90.00°, 90.00° and 90.00°. The distinct sites, in fractional coordinates, are Tb at (0.000, 0.000, 0.234), Nd at (0.500, 0.500, 0.500) and Sc at (0.500, 0.500, 0.000).


3.
Computed, not measured: a relaxed Dy2HoMnS6 crystal at the GGA-PBE level of DFT.

The calculation puts the uncorrected formation energy at -1604 meV per atom. The volume is 23.40 Å³/atom.

The structure belongs to space group P1 (No. 1); the cell edges are 6.583, 6.710 and 7.031 Å and the angles 62.23°, 89.85° and 62.29°. The distinct sites, in fractional coordinates, are Dy at (0.000, 0.000, 0.000), Dy at (0.497, 0.002, 0.511), Ho at (0.704, 0.584, 0.113), Mn at (0.197, 0.597, 0.597), S at (0.098, 0.492, 0.337), S at (0.304, 0.744, 0.812), S at (0.405, 0.755, 0.339), S at (0.577, 0.096, 0.831), S at (0.817, 0.089, 0.318) and S at (0.930, 0.498, 0.802).


4.
Computed, not measured: a relaxed Th4TlSb2Te crystal at the GGA-PBE level of DFT.

The calculation puts the uncorrected formation energy at -720 meV per atom. The volume is 32.41 Å³/atom.

The structure belongs to space group P2/m (No. 10); the cell edges are 7.757, 4.529 and 7.835 Å and the angles 90.00°, 109.61° and 90.00°. The distinct sites, in fractional coordinates, are Th at (0.246, 0.000, 0.247), Th at (0.248, 0.500, 0.751), Tl at (0.000, 0.000, 0.500), Sb at (0.000, 0.500, 0.000), Sb at (0.500, 0.000, 0.000) and Te at (0.500, 0.500, 0.500).


5.
Computed, not measured: a relaxed Sm2MnTl crystal at the GGA-PBE level of DFT.

Its offset from the most stable computed form is 0.0463 eV/atom. The formation energy is -0.002 eV per atom. The volume is 26.72 Å³/atom.

The structure belongs to space group Fm-3m (No. 225); the cell edges are 7.533, 7.533 and 7.533 Å and the angles 90.00°, 90.00° and 90.00°. The distinct sites, in fractional coordinates, are Sm at (0.250, 0.250, 0.250), Mn at (0.000, 0.000, 0.000) and Tl at (0.000, 0.000, 0.500).


6.
Computed, not measured: a relaxed EuHo2P crystal at the GGA-PBE level of DFT.

The formation energy is -0.589 eV per atom. The volume is 32.10 Å³/atom.

The structure belongs to space group R-3m (No. 166, hexagonal axes); the cell edges are 3.8029, 3.8029 and 30.7605 Å and the angles 90.00°, 90.00° and 120.00°. The distinct sites, in fractional coordinates, are Eu at (0.0000, 0.0000, 0.0000), Ho at (0.0000, 0.0000, 0.1152) and P at (0.0000, 0.0000, 0.5000).


7.
Computed, not measured: a relaxed Mg2Ag3Sn2 crystal at the GGA-PBE level of DFT.

The formation energy is -0.093 eV per atom. The volume is 21.80 Å³/atom.

The structure belongs to space group C2/m (No. 12); the cell edges are 15.370, 4.536 and 4.584 Å and the angles 90.00°, 107.27° and 90.00°. The distinct sites, in fractional coordinates, are Mg at (0.118, 0.000, 0.118), Ag at (0.000, 0.500, 0.000), Ag at (0.243, 0.000, 0.743) and Sn at (0.120, 0.500, 0.620).


8.
Computed, not measured: a relaxed PaIO crystal at the GGA-PBE level of DFT.

The calculation puts the uncorrected formation energy at -2196 meV per atom. The volume is 27.17 Å³/atom.

The structure belongs to space group C2/m (No. 12); the cell edges are 6.864, 3.963 and 12.002 Å and the angles 90.00°, 92.68° and 90.00°. The distinct sites, in fractional coordinates, are Pa at (0.157, 0.000, 0.384), I at (0.025, 0.500, 0.810) and O at (0.174, 0.000, 0.582).


9.
Computed, not measured: a relaxed BaAc2Pt9 crystal at the GGA-PBE level of DFT.

The formation energy is -0.809 eV per atom. The volume is 20.62 Å³/atom.

The structure belongs to space group R-3m (No. 166, hexagonal axes); the cell edges are 5.6371, 5.6371 and 26.9802 Å and the angles 90.00°, 90.00° and 120.00°. The distinct sites, in fractional coordinates, are Ba at (0.0000, 0.0000, 0.0000), Ac at (0.0000, 0.0000, 0.1384), Pt at (0.0000, 0.0000, 0.3317), Pt at (0.0000, 0.0000, 0.5000) and Pt at (0.0030, 0.5015, 0.9164).


10.
Computed, not measured: a relaxed KRhS2Cl crystal at the GGA-PBE level of DFT.

Its offset from the most stable computed form is 1.7259 eV/atom. The calculation puts the uncorrected formation energy at 1271 meV per atom. The volume is 34.52 Å³/atom.

The structure belongs to space group P4/mmm (No. 123); the cell edges are 5.618, 5.618 and 5.468 Å and the angles 90.00°, 90.00° and 90.00°. The distinct sites, in fractional coordinates, are K at (0.000, 0.000, 0.000), Rh at (0.500, 0.500, 0.500), S at (0.000, 0.500, 0.000) and Cl at (0.000, 0.000, 0.500).


11.
Computed, not measured: a relaxed NaZrSnIr crystal at the GGA-PBE level of DFT.

The formation energy is -0.429 eV per atom. The volume is 18.42 Å³/atom.

The structure belongs to space group F-43m (No. 216); the cell edges are 6.654, 6.654 and 6.654 Å and the angles 90.00°, 90.00° and 90.00°. The distinct sites, in fractional coordinates, are Na at (0.000, 0.000, 0.000), Zr at (0.250, 0.250, 0.250), Sn at (0.250, 0.250, 0.750) and Ir at (0.000, 0.000, 0.500).


12.
Computed, not measured: a relaxed Tl3Bi4O12 crystal at the GGA-PBE level of DFT.

The calculation puts the uncorrected formation energy at -840 meV per atom. The volume is 16.49 Å³/atom.

The structure belongs to space group Im-3 (No. 204); the cell edges are 8.558, 8.558 and 8.558 Å and the angles 90.00°, 90.00° and 90.00°. The distinct sites, in fractional coordinates, are Tl at (0.000, 0.000, 0.500), Bi at (0.250, 0.250, 0.250) and O at (0.000, 0.190, 0.322).


13.
Computed, not measured: a relaxed Ac2Bi6Pt3 crystal at the GGA-PBE level of DFT.

The formation energy is -0.451 eV per atom. The volume is 29.85 Å³/atom.

The structure belongs to space group P-62m (No. 189); the cell edges are 8.8566, 8.8566 and 4.8343 Å and the angles 90.00°, 90.00° and 120.00°. The distinct sites, in fractional coordinates, are Ac at (0.3333, 0.6667, 0.0000), Bi at (0.0000, 0.3249, 0.5000), Bi at (0.0000, 0.7853, 0.0000) and Pt at (0.0000, 0.6290, 0.5000).


14.
Computed, not measured: a relaxed KBeWC2 crystal at the GGA-PBE level of DFT.

The formation energy is 2.640 eV per atom. The volume is 13.09 Å³/atom.

The structure belongs to space group P4/mmm (No. 123); the cell edges are 3.928, 3.928 and 4.243 Å and the angles 90.00°, 90.00° and 90.00°. The distinct sites, in fractional coordinates, are K at (0.000, 0.000, 0.000), Be at (0.500, 0.500, 0.500), W at (0.500, 0.500, 0.000) and C at (0.000, 0.500, 0.500).


15.
Computed, not measured: a relaxed Ti6Si2N crystal at the GGA-PBE level of DFT.

The calculation puts the uncorrected formation energy at -406 meV per atom. The volume is 16.97 Å³/atom.

The structure belongs to space group P4_2/mnm (No. 136); the cell edges are 5.388, 5.388 and 10.523 Å and the angles 90.00°, 90.00° and 90.00°. The distinct sites, in fractional coordinates, are Ti at (0.188, 0.188, 0.141), Ti at (0.223, 0.223, 0.500), Si at (0.000, 0.000, 0.330) and N at (0.000, 0.000, 0.000).